Record 1
A plane-wave DFT calculation with PBE was carried out for a relaxed LaIrS3 crystal. Values from VASP.

The structure in Quantum ESPRESSO input format:
```
&SYSTEM
  ibrav = 0, nat = 5, ntyp = 3
/
ATOMIC_SPECIES
S 32.06 S.upf
Ir 192.22 Ir.upf
La 138.91 La.upf
CELL_PARAMETERS angstrom
5.428 0.000 0.000
0.000 5.428 0.000
0.000 0.000 5.428
ATOMIC_POSITIONS angstrom
S 0.000 2.714 0.000
S 0.000 0.000 2.714
S 2.714 0.000 0.000
Ir 2.714 2.714 2.714
La 0.000 0.000 0.000
```

Values from the calculation:
- Uncorrected energy: -4.38 eV per atom
- Symmetry: Pm-3m, No. 221
- Excess energy over the best structure of this formula in the dataset: 1.639 eV per atom
- Formation energy (no corrections): 4.28 eV per formula unit

---

Record 2
A plane-wave DFT calculation with PBE was carried out for a relaxed LaIr3S crystal. Values from VASP.

The structure in Quantum ESPRESSO input format:
```
&SYSTEM
  ibrav = 0, nat = 5, ntyp = 3
/
ATOMIC_SPECIES
S 32.06 S.upf
Ir 192.22 Ir.upf
La 138.91 La.upf
CELL_PARAMETERS angstrom
5.000 0.000 0.000
0.000 5.000 0.000
0.000 0.000 5.000
ATOMIC_POSITIONS angstrom
S 2.500 2.500 2.500
Ir 0.000 2.500 0.000
Ir 0.000 0.000 2.500
Ir 2.500 0.000 0.000
La 0.000 0.000 0.000
```

Values from the calculation:
- Uncorrected energy: -4.81 eV per atom
- Symmetry: Pm-3m, No. 221
- Excess energy over the best structure of this formula in the dataset: 2.314 eV per atom
- Formation energy (no corrections): 11.59 eV per formula unit

---

Record 3
A plane-wave DFT calculation with PBE was carried out for a relaxed LaIrS crystal. Values from VASP.

The structure in Quantum ESPRESSO input format:
```
&SYSTEM
  ibrav = 0, nat = 6, ntyp = 3
/
ATOMIC_SPECIES
Ir 192.22 Ir.upf
S 32.06 S.upf
La 138.91 La.upf
CELL_PARAMETERS angstrom
-1.514 -2.542 2.344
-0.301 -0.884 -4.193
8.476 -4.696 0.381
ATOMIC_POSITIONS angstrom
Ir -0.981 -1.728 0.532
Ir 3.949 -2.936 -0.633
S 4.406 -4.902 0.569
S 1.962 -3.547 0.459
La 6.187 -5.192 -1.634
La 0.927 -2.278 -1.871
```

Values from the calculation:
- Uncorrected energy: -6.72 eV per atom
- Symmetry: Amm2, No. 38
- Formation energy (no corrections): -2.25 eV per formula unit

---

Record 4
A plane-wave DFT calculation with PBE was carried out for a relaxed La4Ir2S crystal. Values from VASP.

The structure in Quantum ESPRESSO input format:
```
&SYSTEM
  ibrav = 0, nat = 7, ntyp = 3
/
ATOMIC_SPECIES
La 138.91 La.upf
Ir 192.22 Ir.upf
S 32.06 S.upf
CELL_PARAMETERS angstrom
4.193 0.005 0.000
2.092 7.022 3.390
-0.001 -0.033 7.310
ATOMIC_POSITIONS angstrom
La 4.192 1.867 4.913
La 2.092 5.127 5.786
La 4.189 4.999 2.430
La 2.095 1.994 8.269
Ir 4.190 3.762 7.131
Ir 2.094 3.232 3.569
S 0.000 0.000 0.000
```

Values from the calculation:
- Uncorrected energy: -6.95 eV per atom
- Symmetry: C2/m, No. 12
- Formation energy (no corrections): -7.10 eV per formula unit